Record 1
PrU3Tl3Se8: relaxed, PBE.

abc: 8.411 8.411 9.188
angles: 117.26 90.00 120.00
Site moments in Bohr magnetons follow the coordinates.
Sites, in units of the cell vectors:
Pr (0.000, 0.000, 0.500)  0.07
U (0.500, 0.000, 0.500)  2.51
U (0.500, 0.500, 0.500)  2.51
U (0.000, 0.500, 0.500)  2.51
Tl (0.000, 0.000, 0.000)  0.00
Tl (0.000, 0.500, 0.000)  0.00
Tl (0.500, 0.500, 0.000)  0.00
Se (0.265, 0.530, 0.295)  -0.06
Se (0.735, 0.470, 0.705)  -0.06
Se (0.758, 0.516, 0.293)  -0.05
Se (0.242, 0.484, 0.707)  -0.05
Se (0.758, 0.035, 0.293)  -0.05
Se (0.242, 0.965, 0.707)  -0.05
Se (0.277, 0.035, 0.293)  -0.05
Se (0.723, 0.965, 0.707)  -0.05

Calculated values
The calculation puts the total energy at -5.9738 eV/atom.

***

Record 2
SrZr2Se: relaxed, PBE.

abc: 3.455 3.455 8.725
angles: 90.00 90.00 90.00
Sites, in units of the cell vectors:
Se (0.000, 0.000, 0.458)
Sr (0.500, 0.500, 0.710)
Zr (0.000, 0.000, 0.050)
Zr (0.500, 0.500, 0.281)

Calculated values
The calculation puts the total energy at -6.0606 eV/atom.

***

Record 3
NiRu3: relaxed, PBE.

abc: 2.675 2.675 7.430
angles: 90.00 90.00 90.00
Sites, in units of the cell vectors:
Ni (0.000, 0.000, 0.000)
Ru (0.000, 0.000, 0.500)
Ru (0.500, 0.500, 0.242)
Ru (0.500, 0.500, 0.758)

Calculated values
The calculation puts the total energy at -8.2479 eV/atom. Its formation energy is 0.154 eV/atom.

***

Record 4
Hf2NiRuAu: relaxed, PBE.

abc: 5.020 4.839 5.020
angles: 90.00 90.00 90.00
Site moments in Bohr magnetons follow the coordinates.
Sites, in units of the cell vectors:
Ni (0.500, 0.500, 0.500)  0.47
Hf (0.000, 0.000, 0.500)  -0.09
Hf (0.500, 0.000, 0.000)  -0.11
Au (0.000, 0.000, 0.000)  0.04
Ru (0.000, 0.500, 0.000)  1.05

Calculated values
The calculation puts the total energy at -6.2318 eV/atom. Its formation energy is 1.416 eV/atom.

***

Record 5
CaDy5Pd6: relaxed, PBE.

abc: 4.972 8.602 8.602
angles: 120.00 106.85 106.85
Sites, in units of the cell vectors:
Ca (0.000, 0.000, 0.000)
Pd (0.260, 0.087, 0.432)
Pd (0.740, 0.568, 0.913)
Pd (0.768, 0.268, 0.268)
Pd (0.232, 0.732, 0.732)
Pd (0.260, 0.432, 0.087)
Pd (0.740, 0.913, 0.568)
Dy (0.500, 0.162, 0.838)
Dy (0.000, 0.332, 0.668)
Dy (0.500, 0.500, 0.500)
Dy (0.000, 0.668, 0.332)
Dy (0.500, 0.838, 0.162)

Calculated values
The calculation puts the total energy at -5.5478 eV/atom. Its formation energy is -0.867 eV/atom.

***

Record 6
CsScAsPt2: relaxed, PBE.

abc: 5.111 5.615 5.111
angles: 90.00 90.00 90.00
Sites, in units of the cell vectors:
Cs (0.000, 0.000, 0.000)
Sc (0.500, 0.500, 0.500)
As (0.000, 0.500, 0.000)
Pt (0.000, 0.000, 0.500)
Pt (0.500, 0.000, 0.000)

Calculated values
The calculation puts the total energy at -3.2230 eV/atom. Its formation energy is 1.560 eV/atom.

***

Record 7
PrPClO4: relaxed, PBE.

abc: 6.446 6.446 6.827
angles: 81.92 81.92 62.36
Sites, in units of the cell vectors:
Pr (0.296, 0.296, 0.827)
Pr (0.704, 0.704, 0.173)
P (0.647, 0.647, 0.729)
P (0.353, 0.353, 0.271)
Cl (0.030, 0.030, 0.130)
Cl (0.970, 0.970, 0.870)
O (0.291, 0.291, 0.488)
O (0.709, 0.709, 0.512)
O (0.126, 0.493, 0.155)
O (0.494, 0.494, 0.250)
O (0.507, 0.874, 0.845)
O (0.493, 0.126, 0.155)
O (0.506, 0.506, 0.750)
O (0.874, 0.507, 0.845)

Calculated values
The calculation puts the total energy at -6.9904 eV/atom.

***

Record 8
KIn2As2: relaxed, PBE.

abc: 8.321 8.321 3.781
angles: 90.00 90.00 90.00
Sites, in units of the cell vectors:
As (0.358, 0.858, 0.000)
As (0.858, 0.642, 0.000)
As (0.642, 0.142, 0.000)
As (0.142, 0.358, 0.000)
K (0.000, 0.000, 0.000)
K (0.500, 0.500, 0.000)
In (0.141, 0.641, 0.500)
In (0.641, 0.859, 0.500)
In (0.859, 0.359, 0.500)
In (0.359, 0.141, 0.500)

Calculated values
The calculation puts the total energy at -3.2538 eV/atom. Its formation energy is -0.079 eV/atom.